Record 1
## AsCSeBr2 (PBE)

Data for AsCSeBr2 after structural relaxation.

Its total magnetic moment is 0.00 μB per formula unit. The value obtained for the distance to the lowest polymorph of the same formula is 27.8 meV per atom. The calculation puts the raw formation energy at 1.2860 eV per atom.

Lattice parameters (Å, degrees): 4.6123 4.6123 4.6333 90.00 90.00 90.00
Atoms (fractional coordinates):
C1 0.0000 0.0000 0.0000
As1 0.0000 0.0000 0.5000
Se1 0.5000 0.5000 0.5000
Br1 0.0000 0.5000 0.0000
Br2 0.5000 0.0000 0.0000



Record 2
## La6CoRu2Au (PBE)

Data for La6CoRu2Au after structural relaxation.

Its total magnetic moment is 0.00 μB per formula unit. The calculated formation energy comes out at -299 meV per atom.

Lattice parameters (Å, degrees): 7.2082 7.2017 7.7919 62.44 62.41 59.87
Atoms (fractional coordinates):
La1 0.5634 0.2744 0.2402
La2 0.2731 0.9215 0.2408
La3 0.9205 0.5649 0.2407
La4 0.3905 0.7464 0.7617
La5 0.7481 0.1007 0.7621
La6 0.1020 0.3898 0.7616
Co1 0.3389 0.3387 0.9832
Ru1 0.4988 0.4985 0.5037
Ru2 0.9917 0.9913 0.0260
Au1 0.8345 0.8354 0.4951



Record 3
## Er6Tl2Ir (PBE)

Data for Er6Tl2Ir after structural relaxation.

Its total magnetic moment is 0.00 μB per formula unit. The calculated formation energy comes out at -436 meV per atom. The value obtained for the distance to the lowest polymorph of the same formula is 0.0 meV per atom.

Lattice parameters (Å, degrees): 3.8560 8.6118 8.5294 120.32 90.00 90.00
Atoms (fractional coordinates):
Er1 0.5000 0.6040 0.0000
Er2 0.5000 0.3845 0.3866
Er3 0.5000 0.9978 0.6134
Er4 0.0000 0.2475 0.0000
Er5 0.0000 0.7603 0.7646
Er6 0.0000 0.9957 0.2354
Tl1 0.0000 0.3302 0.6631
Tl2 0.0000 0.6671 0.3369
Ir1 0.5000 0.0130 0.0000



Record 4
## Tb2PaSi6 (PBE)

Data for Tb2PaSi6 after structural relaxation.

Its total magnetic moment is 0.00 μB per formula unit. The calculation puts the raw formation energy at -0.5536 eV per atom.

Lattice parameters (Å, degrees): 3.9665 7.0498 7.0498 120.00 90.00 90.00
Atoms (fractional coordinates):
Tb1 0.0000 0.3333 0.6667
Tb2 0.0000 0.6667 0.3333
Pa1 0.0000 0.0000 0.0000
Si1 0.5000 0.3319 0.3319
Si2 0.5000 0.6681 0.6681
Si3 0.5000 0.0000 0.6681
Si4 0.5000 0.6681 0.0000
Si5 0.5000 0.3319 0.0000
Si6 0.5000 0.0000 0.3319



Q: Which total DFT energy (no corrections) values were calculated for the entries above? A: -2.855; -6.149; -4.988; -6.253, in eV per atom.